Record 1
Compound: ZrInSe2
Source: the Alexandria database
Functional: PBE
Structure: optimized geometry

Cell lengths 5.017, 5.017, 5.017 Å; angles 60.00, 60.00, 60.00 degrees
Fractional positions:
In: 0.500 0.500 0.500
Se: 0.000 0.000 0.000
Se: 0.250 0.250 0.250
Zr: 0.750 0.750 0.750

Computed properties:
The uncorrected formation energy is 0.020 eV per atom. Its symmetry is F-43m, No. 216.

Record 2
Compound: HfVC2
Source: the Alexandria database
Functional: PBE
Structure: optimized geometry

Cell lengths 3.124, 3.124, 5.396 Å; angles 73.18, 73.18, 60.00 degrees
Fractional positions:
C: 0.257 0.257 0.228
C: 0.743 0.743 0.772
Hf: 0.500 0.500 0.500
V: 0.000 0.000 0.000

Computed properties:
Its symmetry is R-3m, No. 166. The calculation puts the energy of formation from the pure elements at -0.595 eV/atom.

Record 3
Compound: LiTiP
Source: the Alexandria database
Functional: PBE
Structure: optimized geometry

Cell lengths 3.991, 3.991, 6.386 Å; angles 90.00, 90.00, 90.00 degrees
Fractional positions:
Li: 0.000 0.500 0.864
Li: 0.500 0.000 0.136
P: 0.000 0.500 0.267
P: 0.500 0.000 0.733
Ti: 0.500 0.500 0.500
Ti: 0.000 0.000 0.500

Computed properties:
Its symmetry is P4/nmm, No. 129. The calculation puts the energy of formation from the pure elements at -0.759 eV/atom.

Record 4
Compound: Mo2HAu
Source: the Alexandria database
Functional: PBE
Structure: optimized geometry

Cell lengths 2.830, 2.830, 8.140 Å; angles 79.99, 79.99, 60.00 degrees
Fractional positions:
H: 0.500 0.500 0.500
Mo: 0.117 0.117 0.648
Mo: 0.883 0.883 0.352
Au: 0.000 0.000 0.000

Computed properties:
The polymorph energy (0 for the lowest one) comes out at 0.000 kcal/mol of atoms. Its symmetry is R-3m, No. 166.